This record from Alexandria via LeMat-Bulk describes a geometry-optimized ZnBiAs3 structure. The functional is PBE-GGA.

- Formation energy from the elements: 0.53 eV per atom
- VASP energy: -3.2867 eV per atom
- DOS at the Fermi energy: 4.3 states/eV per cell
- ΔE to the lowest computed polymorph: 0.000 eV/atom

Geometry as CIF:
```
data_ZnBiAs3
_cell_length_a 4.896
_cell_length_b 4.896
_cell_length_c 4.896
_cell_angle_alpha 90.00
_cell_angle_beta 90.00
_cell_angle_gamma 90.00
_symmetry_space_group_name_H-M 'P m -3 m'
_symmetry_Int_Tables_number 221
_symmetry_space_group_name_Hall '-P 4 2 3'
loop_
_atom_site_label
_atom_site_type_symbol
_atom_site_fract_x
_atom_site_fract_y
_atom_site_fract_z
Zn1 Zn 0.000 0.000 0.000
Bi1 Bi 0.500 0.500 0.500
As1 As 0.000 0.000 0.500
```